1.
LiHfCuGe | PBE | relaxed

Lattice parameters (Å, degrees): 6.349 6.349 6.349 90.00 90.00 90.00
Space group F-43m (No. 216)
Unique sites:
Li (0.000, 0.000, 0.000) [4 per cell]
Hf (0.000, 0.000, 0.500) [4 per cell]
Cu (0.250, 0.250, 0.750) [4 per cell]
Ge (0.250, 0.250, 0.250) [4 per cell]

Computed properties:
- DOS(E_F): 6.92 states/eV/cell
- DFT total energy: -5.42 eV per atom
- Volume: 255.93 Å³ per cell
- Calculated formation energy: -0.28 eV per atom


2.
HfMnCuGe2 | PBE | relaxed

Lattice parameters (Å, degrees): 4.509 4.509 4.940 90.00 90.00 90.00
Space group P4/mmm (No. 123)
Unique sites:
Hf (0.000, 0.000, 0.000) [1 per cell]
Mn (0.500, 0.500, 0.000) [1 per cell]
Cu (0.000, 0.000, 0.500) [1 per cell]
Ge (0.000, 0.500, 0.500) [2 per cell]

Computed properties:
- DOS(E_F): 2.34 states/eV/cell
- DFT total energy: -5.79 eV per atom
- Volume: 100.44 Å³ per cell
- Calculated formation energy: 0.70 eV per atom